No. 1
DFT (PBE) results for an optimized crystal structure of Dy2CdH2.

Cell lengths 6.617, 6.617, 6.617 Å; angles 146.81, 146.81, 47.64 degrees
Positions (direct):
Dy 0.152 0.152 0.000
Dy 0.848 0.848 0.000
Cd 0.500 0.500 0.000
H 0.250 0.750 0.500
H 0.750 0.250 0.500

Properties
As for the calculated total energy: -3.935 eV/atom. The value obtained for the total magnetization is 0.000 μB/cell.


No. 2
DFT (PBE) results for an optimized crystal structure of Dy3CdH.

Cell lengths 4.850, 4.850, 4.850 Å; angles 90.00, 90.00, 90.00 degrees
Positions (direct):
Dy 0.000 0.000 0.500
Dy 0.000 0.500 0.000
Dy 0.500 0.000 0.000
Cd 0.500 0.500 0.500
H 0.000 0.000 0.000

Properties
As for the calculated total energy: -3.835 eV/atom. The value obtained for the total magnetization is 1.449 μB/cell.


No. 3
DFT (PBE) results for an optimized crystal structure of DyCdH.

Cell lengths 3.703, 3.703, 5.033 Å; angles 90.00, 90.00, 120.00 degrees
Positions (direct):
Dy 0.000 0.000 0.000
Cd 0.333 0.667 0.500
H 0.667 0.333 0.002

Properties
The value obtained for the energy above the lowest structure with this stoichiometry is 0.122 eV per atom. As for the calculated total energy: -3.230 eV/atom. The value obtained for the total magnetization is 0.000 μB/cell.


No. 4
DFT (PBE) results for an optimized crystal structure of Dy4Cd2H.

Cell lengths 8.515, 8.515, 8.515 Å; angles 147.77, 147.77, 46.23 degrees
Positions (direct):
Dy 0.000 0.500 0.500
Dy 0.177 0.177 0.000
Dy 0.500 0.000 0.500
Dy 0.823 0.823 0.000
Cd 0.368 0.368 0.000
Cd 0.632 0.632 0.000
H 0.000 0.000 0.000

Properties
As for the calculated total energy: -3.549 eV/atom. The value obtained for the total magnetization is 0.000 μB/cell.


No. 5
DFT (PBE) results for an optimized crystal structure of DyCdH8Ir2.

Cell lengths 4.856, 4.856, 6.064 Å; angles 107.39, 107.39, 53.16 degrees
Positions (direct):
Dy 0.000 0.000 0.000
Cd 0.500 0.500 0.500
H 0.075 0.567 0.167
H 0.207 0.207 0.375
H 0.412 0.412 0.856
H 0.433 0.925 0.833
H 0.567 0.075 0.167
H 0.588 0.588 0.144
H 0.793 0.793 0.625
H 0.925 0.433 0.833
Ir 0.220 0.220 0.659
Ir 0.780 0.780 0.341

Properties
As for the calculated total energy: -4.315 eV/atom. The value obtained for the total magnetization is 0.000 μB/cell.


No. 6
DFT (PBE) results for an optimized crystal structure of DyHfCd.

Cell lengths 12.328, 12.328, 12.328 Å; angles 162.65, 162.65, 24.64 degrees
Positions (direct):
Dy 0.142 0.142 0.000
Dy 0.858 0.858 0.000
Hf 0.277 0.277 0.000
Hf 0.723 0.723 0.000
Cd 0.442 0.442 0.000
Cd 0.558 0.558 0.000

Properties
The value obtained for the energy above the lowest structure with this stoichiometry is 0.145 eV per atom. Its formation energy is 0.067 eV/atom. As for the calculated total energy: -5.090 eV/atom. The value obtained for the total magnetization is 0.000 μB/cell.


No. 7
DFT (PBE) results for an optimized crystal structure of DyHfCd4.

Cell lengths 5.775, 5.775, 5.775 Å; angles 60.00, 60.00, 60.00 degrees
Positions (direct):
Dy 0.000 0.000 0.000
Hf 0.250 0.250 0.250
Cd 0.126 0.625 0.625
Cd 0.625 0.126 0.625
Cd 0.625 0.625 0.126
Cd 0.625 0.625 0.625

Properties
Its formation energy is -0.032 eV/atom. As for the calculated total energy: -3.068 eV/atom. The value obtained for the total magnetization is 1.847 μB/cell.


No. 8
DFT (PBE) results for an optimized crystal structure of DyHfCd.

Cell lengths 6.970, 6.970, 6.970 Å; angles 152.15, 152.15, 39.80 degrees
Positions (direct):
Dy 0.000 0.000 0.000
Hf 0.670 0.670 0.000
Cd 0.323 0.323 0.000

Properties
The value obtained for the energy above the lowest structure with this stoichiometry is 0.000 eV per atom. Its formation energy is -0.078 eV/atom. As for the calculated total energy: -5.235 eV/atom. The value obtained for the total magnetization is 0.000 μB/cell.


No. 9
DFT (PBE) results for an optimized crystal structure of DyHfCdTc.

Cell lengths 4.899, 4.899, 4.899 Å; angles 60.00, 60.00, 60.00 degrees
Positions (direct):
Dy 0.000 0.000 0.000
Hf 0.500 0.500 0.500
Cd 0.750 0.750 0.750
Tc 0.250 0.250 0.250

Properties
Its formation energy is -0.086 eV/atom. As for the calculated total energy: -6.545 eV/atom. The value obtained for the total magnetization is 0.000 μB/cell.


No. 10
DFT (PBE) results for an optimized crystal structure of DyHfZnCd.

Cell lengths 4.991, 4.991, 4.991 Å; angles 60.00, 60.00, 60.00 degrees
Positions (direct):
Dy 0.000 0.000 0.000
Hf 0.500 0.500 0.500
Zn 0.250 0.250 0.250
Cd 0.750 0.750 0.750

Properties
Its formation energy is -0.090 eV/atom. As for the calculated total energy: -4.276 eV/atom. The value obtained for the total magnetization is 0.411 μB/cell.


No. 11
DFT (PBE) results for an optimized crystal structure of DyCd11Hg.

Cell lengths 7.639, 7.639, 7.633 Å; angles 98.84, 98.84, 133.49 degrees
Positions (direct):
Dy 0.000 0.000 0.000
Cd 0.000 0.000 0.500
Cd 0.000 0.500 0.000
Cd 0.003 0.652 0.651
Cd 0.284 0.497 0.788
Cd 0.348 0.997 0.349
Cd 0.497 0.284 0.788
Cd 0.500 0.000 0.000
Cd 0.503 0.716 0.212
Cd 0.652 0.003 0.651
Cd 0.716 0.503 0.212
Cd 0.997 0.348 0.349
Hg 0.500 0.500 0.500

Properties
Its formation energy is -0.057 eV/atom. As for the calculated total energy: -1.209 eV/atom. The value obtained for the total magnetization is 0.000 μB/cell.


No. 12
DFT (PBE) results for an optimized crystal structure of Dy6CdHg3.

Cell lengths 9.357, 5.210, 11.584 Å; angles 90.00, 106.75, 90.00 degrees
Positions (direct):
Dy 0.027 0.250 0.401
Dy 0.151 0.750 0.186
Dy 0.252 0.250 0.006
Dy 0.346 0.750 0.821
Dy 0.376 0.250 0.336
Dy 0.382 0.250 0.615
Dy 0.618 0.750 0.385
Dy 0.624 0.750 0.664
Dy 0.654 0.250 0.179
Dy 0.748 0.750 0.994
Dy 0.849 0.250 0.814
Dy 0.973 0.750 0.599
Cd 0.449 0.750 0.115
Cd 0.551 0.250 0.885
Hg 0.030 0.750 0.885
Hg 0.131 0.250 0.725
Hg 0.279 0.750 0.470
Hg 0.721 0.250 0.530
Hg 0.869 0.750 0.275
Hg 0.970 0.250 0.115

Properties
Its formation energy is -0.312 eV/atom. As for the calculated total energy: -3.256 eV/atom. The value obtained for the total magnetization is 0.000 μB/cell.


No. 13
DFT (PBE) results for an optimized crystal structure of Dy3Cd3Hg2.

Cell lengths 7.842, 7.842, 3.847 Å; angles 90.00, 90.00, 120.00 degrees
Positions (direct):
Dy 0.000 0.399 0.000
Dy 0.399 0.000 0.000
Dy 0.601 0.601 0.000
Cd 0.000 0.772 0.500
Cd 0.228 0.228 0.500
Cd 0.772 0.000 0.500
Hg 0.333 0.667 0.500
Hg 0.667 0.333 0.500

Properties
Its formation energy is -0.345 eV/atom. As for the calculated total energy: -2.489 eV/atom. The value obtained for the total magnetization is 0.000 μB/cell.


No. 14
DFT (PBE) results for an optimized crystal structure of Dy5CdHg6.

Cell lengths 8.194, 8.194, 7.416 Å; angles 90.00, 90.00, 142.86 degrees
Positions (direct):
Dy 0.000 0.000 0.000
Dy 0.327 0.673 0.000
Dy 0.344 0.656 0.500
Dy 0.656 0.344 0.500
Dy 0.673 0.327 0.000
Cd 0.000 0.000 0.500
Hg 0.167 0.833 0.260
Hg 0.167 0.833 0.740
Hg 0.500 0.500 0.235
Hg 0.500 0.500 0.765
Hg 0.833 0.167 0.260
Hg 0.833 0.167 0.740

Properties
Its formation energy is -0.442 eV/atom. As for the calculated total energy: -2.587 eV/atom. The value obtained for the total magnetization is 0.011 μB/cell.


No. 15
DFT (PBE) results for an optimized crystal structure of Dy3Cd4Hg2.

Cell lengths 6.027, 6.027, 9.224 Å; angles 116.49, 116.49, 48.67 degrees
Positions (direct):
Dy 0.000 0.000 0.000
Dy 0.331 0.331 0.336
Dy 0.669 0.669 0.664
Cd 0.050 0.050 0.385
Cd 0.275 0.275 0.945
Cd 0.725 0.725 0.055
Cd 0.950 0.950 0.615
Hg 0.390 0.390 0.724
Hg 0.610 0.610 0.276

Properties
The value obtained for the energy above the lowest structure with this stoichiometry is 0.029 eV per atom. Its formation energy is -0.354 eV/atom. As for the calculated total energy: -2.361 eV/atom. The value obtained for the total magnetization is 0.000 μB/cell.


No. 16
DFT (PBE) results for an optimized crystal structure of DyCdHg2.

Cell lengths 7.789, 7.789, 7.789 Å; angles 30.44, 30.44, 30.44 degrees
Positions (direct):
Dy 0.000 0.000 0.000
Cd 0.500 0.500 0.500
Hg 0.245 0.245 0.245
Hg 0.755 0.755 0.755

Properties
The value obtained for the energy above the lowest structure with this stoichiometry is 0.185 eV per atom. Its formation energy is -0.174 eV/atom. As for the calculated total energy: -1.705 eV/atom. The value obtained for the total magnetization is 0.000 μB/cell.


No. 17
DFT (PBE) results for an optimized crystal structure of Dy11Cd4Hg9.

Cell lengths 13.253, 13.253, 3.690 Å; angles 90.00, 90.00, 106.99 degrees
Positions (direct):
Dy 0.000 0.000 0.000
Dy 0.066 0.406 0.000
Dy 0.182 0.818 0.000
Dy 0.227 0.227 0.000
Dy 0.358 0.642 0.000
Dy 0.406 0.066 0.000
Dy 0.594 0.934 0.000
Dy 0.642 0.358 0.000
Dy 0.773 0.773 0.000
Dy 0.818 0.182 0.000
Dy 0.934 0.594 0.000
Cd 0.271 0.433 0.500
Cd 0.433 0.271 0.500
Cd 0.567 0.729 0.500
Cd 0.729 0.567 0.500
Hg 0.020 0.201 0.500
Hg 0.148 0.613 0.500
Hg 0.201 0.020 0.500
Hg 0.387 0.852 0.500
Hg 0.500 0.500 0.500
Hg 0.613 0.148 0.500
Hg 0.799 0.980 0.500
Hg 0.852 0.387 0.500
Hg 0.980 0.799 0.500

Properties
Its formation energy is -0.388 eV/atom. As for the calculated total energy: -2.763 eV/atom. The value obtained for the total magnetization is 1.005 μB/cell.


No. 18
DFT (PBE) results for an optimized crystal structure of DyCd3Hg2.

Cell lengths 8.972, 8.972, 7.632 Å; angles 110.66, 110.66, 29.84 degrees
Positions (direct):
Dy 0.116 0.116 0.181
Dy 0.884 0.884 0.819
Cd 0.074 0.074 0.691
Cd 0.303 0.303 0.075
Cd 0.374 0.374 0.495
Cd 0.626 0.626 0.505
Cd 0.697 0.697 0.925
Cd 0.926 0.926 0.309
Hg 0.244 0.244 0.662
Hg 0.483 0.483 0.168
Hg 0.517 0.517 0.832
Hg 0.756 0.756 0.338

Properties
The value obtained for the energy above the lowest structure with this stoichiometry is 0.000 eV per atom. Its formation energy is -0.183 eV/atom. As for the calculated total energy: -1.508 eV/atom. The value obtained for the total magnetization is 0.000 μB/cell.


No. 19
DFT (PBE) results for an optimized crystal structure of Dy3CdHg4.

Cell lengths 9.141, 9.141, 9.141 Å; angles 32.70, 32.70, 32.70 degrees
Positions (direct):
Dy 0.000 0.000 0.000
Dy 0.243 0.243 0.243
Dy 0.757 0.757 0.757
Cd 0.500 0.500 0.500
Hg 0.122 0.122 0.122
Hg 0.369 0.369 0.369
Hg 0.631 0.631 0.631
Hg 0.878 0.878 0.878

Properties
The value obtained for the energy above the lowest structure with this stoichiometry is 0.000 eV per atom. Its formation energy is -0.433 eV/atom. As for the calculated total energy: -2.424 eV/atom. The value obtained for the total magnetization is 0.000 μB/cell.


No. 20
DFT (PBE) results for an optimized crystal structure of Dy2CdHg8.

Cell lengths 4.619, 4.619, 12.932 Å; angles 90.00, 90.00, 90.00 degrees
Positions (direct):
Dy 0.000 0.000 0.184
Dy 0.000 0.000 0.816
Cd 0.000 0.000 0.500
Hg 0.000 0.500 0.000
Hg 0.000 0.500 0.355
Hg 0.000 0.500 0.645
Hg 0.500 0.000 0.000
Hg 0.500 0.000 0.355
Hg 0.500 0.000 0.645
Hg 0.500 0.500 0.176
Hg 0.500 0.500 0.824

Properties
The value obtained for the energy above the lowest structure with this stoichiometry is 0.000 eV per atom. Its formation energy is -0.231 eV/atom. As for the calculated total energy: -1.370 eV/atom. The value obtained for the total magnetization is 0.000 μB/cell.